[1]
Entry from Alexandria: MnMo3Pd at its PBEsol-relaxed geometry (SCAN).

```
MnMo3Pd
1.0
-1.381 -3.803 1.604
-0.374 -1.570 -4.042
4.110 -1.421 0.172
Mo Mn Pd
3 1 1
Direct
0.000 0.500 0.000 Mo
0.000 0.000 0.500 Mo
0.500 0.000 0.000 Mo
0.000 0.000 0.000 Mn
0.500 0.500 0.500 Pd
```

Summary:
* VASP energy: -30.04 eV/atom
* V: 82.4 Å³/cell
* SG: Pm-3m, No. 221
* formation energy: 5.48 eV/f.u.

[2]
Entry from Alexandria: TaTlRe2Te at its PBEsol-relaxed geometry (SCAN).

```
TaTlRe2Te
1.0
-0.301 1.710 -4.418
3.364 -3.040 -1.406
-3.698 -3.569 -1.129
Re Tl Te Ta
2 1 1 1
Direct
0.000 0.500 0.000 Re
0.500 0.000 0.000 Re
0.000 0.000 0.500 Tl
0.000 0.000 0.000 Te
0.500 0.500 0.500 Ta
```

Summary:
* energy relative to the elements, uncorrected: 2.698 eV/atom
* VASP energy: -60.98 eV/atom
* V: 118.6 Å³/cell
* SG: P4/mmm, No. 123

[3]
Entry from Alexandria: LaAgSN2 at its PBEsol-relaxed geometry (SCAN).

```
LaAgSN2
1.0
4.146 0.000 0.000
0.000 4.146 0.000
0.000 0.000 4.659
S N Ag La
1 2 1 1
Direct
0.000 0.000 0.500 S
0.000 0.500 0.000 N
0.500 0.000 0.000 N
0.000 0.000 0.000 Ag
0.500 0.500 0.500 La
```

Summary:
* energy relative to the elements, uncorrected: 0.299 eV/atom
* VASP energy: -20.24 eV/atom
* V: 80.1 Å³/cell
* SG: P4/mmm, No. 123
* energy above the lowest structure with this stoichiometry: 0.00 eV per formula unit

[4]
Entry from Alexandria: In2FeHg at its PBEsol-relaxed geometry (SCAN).

```
In2FeHg
1.0
3.254 0.000 0.000
0.000 4.052 0.000
0.000 0.000 5.894
Fe Hg In
1 1 2
Direct
0.000 0.000 0.483 Fe
0.500 0.500 0.745 Hg
0.000 0.000 0.991 In
0.500 0.500 0.281 In
```

Summary:
* VASP energy: -37.94 eV/atom
* V: 77.7 Å³/cell
* SG: Pmm2, No. 25
* formation energy: 1.31 eV/f.u.

[5]
Entry from Alexandria: MnP2SI at its PBEsol-relaxed geometry (SCAN).

```
MnP2SI
1.0
-0.639 4.965 -0.020
-4.162 -0.547 -2.729
-2.709 -0.332 4.198
I P S Mn
1 2 1 1
Direct
0.000 0.000 0.000 I
0.000 0.000 0.500 P
0.000 0.500 0.000 P
0.500 0.000 0.000 S
0.500 0.500 0.500 Mn
```

Summary:
* energy relative to the elements, uncorrected: 1.377 eV/atom
* VASP energy: -15.71 eV/atom
* V: 125.5 Å³/cell
* SG: P4/mmm, No. 123

[6]
Entry from Alexandria: Ba3Ta2CdO9 at its PBEsol-relaxed geometry (SCAN).

```
Ba3Ta2CdO9
1.0
5.872 0.000 0.000
-2.936 5.086 0.000
0.000 0.000 7.259
Ba Ta Cd O
3 2 1 9
Direct
0.333 0.667 0.662 Ba
0.000 0.000 0.000 Ba
0.667 0.333 0.338 Ba
0.667 0.333 0.833 Ta
0.333 0.667 0.167 Ta
0.000 0.000 0.500 Cd
0.648 0.824 0.314 O
0.176 0.824 0.314 O
0.824 0.176 0.686 O
0.000 0.500 0.000 O
0.824 0.648 0.686 O
0.352 0.176 0.686 O
0.176 0.352 0.314 O
0.500 0.500 0.000 O
0.500 0.000 0.000 O
```

Summary:
* energy relative to the elements, uncorrected: -3.026 eV/atom
* VASP energy: -25.58 eV/atom
* V: 216.8 Å³/cell
* SG: P-3m1, No. 164

[7]
Entry from Alexandria: TiSi2HRh at its PBEsol-relaxed geometry (SCAN).

```
TiSi2HRh
1.0
-1.532 -2.864 -1.375
3.288 -0.745 -2.112
1.425 -2.199 2.993
H Si Rh Ti
1 2 1 1
Direct
0.000 0.000 0.000 H
0.000 0.000 0.500 Si
0.000 0.500 0.000 Si
0.500 0.500 0.500 Rh
0.500 0.000 0.000 Ti
```

Summary:
* VASP energy: -14.93 eV/atom
* V: 55.8 Å³/cell
* SG: P4/mmm, No. 123

[8]
Entry from Alexandria: Tm at its PBEsol-relaxed geometry (SCAN).

```
Tm
1.0
3.368 0.000 0.000
0.000 5.383 0.000
0.000 -2.692 4.662
Tm
3
Direct
0.500 0.667 0.333 Tm
0.500 0.333 0.667 Tm
0.000 0.000 0.000 Tm
```

Summary:
* VASP energy: -51.77 eV/atom
* V: 84.5 Å³/cell
* SG: P6/mmm, No. 191
* energy above the lowest structure with this stoichiometry: 0.06 eV per formula unit
* formation energy: 0.06 eV/f.u.

[9]
Entry from Alexandria: Zn2RhBr at its PBEsol-relaxed geometry (SCAN).

```
Zn2RhBr
1.0
-3.131 -0.319 -0.031
0.265 -2.745 1.516
-0.383 3.194 5.853
Br Rh Zn
1 1 2
Direct
0.500 0.500 0.000 Br
0.500 0.500 0.500 Rh
0.000 0.000 0.698 Zn
0.000 0.000 0.302 Zn
```

Summary:
* energy relative to the elements, uncorrected: -0.138 eV/atom
* VASP energy: -20.20 eV/atom
* V: 66.2 Å³/cell
* SG: P4/mmm, No. 123
* energy above the lowest structure with this stoichiometry: 0.00 eV per formula unit

[10]
Entry from Alexandria: LiIrSCl2 at its PBEsol-relaxed geometry (SCAN).

```
LiIrSCl2
1.0
4.198 0.000 0.000
0.000 4.198 0.000
0.000 0.000 4.722
S Ir Li Cl
1 1 1 2
Direct
0.000 0.000 0.500 S
0.500 0.500 0.500 Ir
0.000 0.000 0.000 Li
0.000 0.500 0.000 Cl
0.500 0.000 0.000 Cl
```

Summary:
* energy relative to the elements, uncorrected: 0.615 eV/atom
* VASP energy: -19.20 eV/atom
* V: 83.2 Å³/cell
* SG: P4/mmm, No. 123

[11]
Entry from Alexandria: SnTe2H at its PBEsol-relaxed geometry (SCAN).

```
SnTe2H
1.0
-2.295 -3.350 -0.363
1.411 -3.591 1.318
-2.761 -1.230 5.914
H Te Sn
1 2 1
Direct
0.500 0.500 0.500 H
0.764 0.764 0.707 Te
0.236 0.236 0.293 Te
0.000 0.000 0.000 Sn
```

Summary:
* VASP energy: -28.07 eV/atom
* V: 89.4 Å³/cell
* SG: R-3m, No. 166

[12]
Entry from Alexandria: InPt2Rh at its PBEsol-relaxed geometry (SCAN).

```
InPt2Rh
1.0
-0.849 3.854 0.443
-3.588 -0.607 -1.591
0.751 -2.360 4.165
Rh Pt In
1 2 1
Direct
0.500 0.500 0.000 Rh
0.750 0.250 0.500 Pt
0.250 0.750 0.500 Pt
0.000 0.000 0.000 In
```

Summary:
* VASP energy: -52.16 eV/atom
* V: 62.3 Å³/cell
* SG: I4/mmm, No. 139
* formation energy: -1.11 eV/f.u.